(1)
VASP calculation (PBE) on DyZnInRu after structural relaxation.

Output
* total energy: -4.633 eV per atom

Lattice parameters (Å, degrees): 6.7419 6.7419 6.7419 90.00 90.00 90.00
Space group F-43m (No. 216)
Unique sites:
Dy 0.0000 0.0000 0.0000 x4
Zn 0.2500 0.2500 0.7500 x4
In 0.0000 0.0000 0.5000 x4
Ru 0.2500 0.2500 0.2500 x4

(2)
VASP calculation (PBE) on Dy6InS4 after structural relaxation.

Output
* total energy: -5.826 eV per atom
* ΔE_f (raw): -1.566 eV/atom

Lattice parameters (Å, degrees): 3.9289 13.1222 20.0897 90.00 90.00 90.00
Space group Cmcm (No. 63)
Unique sites:
Dy 0.0000 0.0000 0.0000 x4
Dy 0.0000 0.1523 0.2500 x4
Dy 0.0000 0.2716 0.5840 x8
Dy 0.0000 0.4608 0.1574 x8
In 0.0000 0.1640 0.7500 x4
S 0.0000 0.0939 0.1212 x8
S 0.0000 0.3622 0.0392 x8

(3)
VASP calculation (PBE) on Dy3In5S12 after structural relaxation.

Output
* total energy: -4.926 eV per atom
* ΔE_f (raw): -1.074 eV/atom

Lattice parameters (Å, degrees): 15.6918 15.6918 15.6918 90.00 90.00 90.00
Space group Ia-3d (No. 230)
Unique sites:
Dy 0.0000 0.2500 0.1250 x24
In 0.0000 0.0000 0.0000 x16
In 0.0000 0.2500 0.3750 x24
S 0.0210 0.0655 0.6525 x96

(4)
VASP calculation (PBE) on Dy3InS2 after structural relaxation.

Output
* total energy: -5.377 eV per atom
* ΔE_f (raw): -1.244 eV/atom

Lattice parameters (Å, degrees): 4.9201 12.3449 9.5215 90.00 90.00 90.00
Space group Cmcm (No. 63)
Unique sites:
Dy 0.0000 0.1064 0.2500 x4
Dy 0.0000 0.3674 0.0502 x8
In 0.0000 0.2218 0.7500 x4
S 0.0000 0.0000 0.0000 x4
S 0.0000 0.4684 0.7500 x4

(5)
VASP calculation (PBE) on Dy4In5S13 after structural relaxation.

Output
* total energy: -5.091 eV per atom
* ΔE_f (raw): -1.193 eV/atom

Lattice parameters (Å, degrees): 11.9392 21.5089 3.8596 90.00 90.00 90.00
Space group Pbam (No. 55)
Unique sites:
Dy 0.0196 0.1745 0.0000 x4
Dy 0.1799 0.3399 0.0000 x4
In 0.0000 0.5000 0.0000 x2
In 0.1535 0.9918 0.5000 x4
In 0.1575 0.6671 0.5000 x4
S 0.0000 0.0000 0.0000 x2
S 0.0046 0.4070 0.5000 x4
S 0.0885 0.2622 0.5000 x4
S 0.1458 0.8639 0.5000 x4
S 0.1548 0.1147 0.5000 x4
S 0.1618 0.7397 0.0000 x4
S 0.2047 0.4723 0.0000 x4

(6)
VASP calculation (PBE) on Dy4InS2 after structural relaxation.

Output
* total energy: -5.510 eV per atom
* ΔE_f (raw): -1.309 eV/atom

Lattice parameters (Å, degrees): 3.9441 13.1461 13.5401 90.00 90.00 90.00
Space group Cmcm (No. 63)
Unique sites:
Dy 0.0000 0.0000 0.0000 x4
Dy 0.0000 0.2658 0.1153 x8
Dy 0.0000 0.4257 0.7500 x4
In 0.0000 0.1073 0.7500 x4
S 0.0000 0.3661 0.5582 x8

(7)
VASP calculation (PBE) on Dy7InS5 after structural relaxation.

Output
* total energy: -5.909 eV per atom
* ΔE_f (raw): -1.633 eV/atom

Lattice parameters (Å, degrees): 3.9194 13.0466 23.5148 90.00 90.00 90.00
Space group Cmcm (No. 63)
Unique sites:
Dy 0.0000 0.0140 0.2500 x4
Dy 0.0000 0.1361 0.5356 x8
Dy 0.0000 0.3247 0.1718 x8
Dy 0.0000 0.4068 0.6103 x8
In 0.0000 0.3020 0.7500 x4
S 0.0000 0.0438 0.6388 x8
S 0.0000 0.2264 0.0698 x8
S 0.0000 0.5000 0.0000 x4

(8)
VASP calculation (PBE) on Dy2InS5 after structural relaxation.

Output
* total energy: -5.357 eV per atom
* ΔE_f (raw): -1.284 eV/atom

Lattice parameters (Å, degrees): 5.3827 13.5766 12.2273 90.00 90.00 90.00
Space group Cmcm (No. 63)
Unique sites:
Dy 0.0000 0.1628 0.0697 x8
In 0.0000 0.1767 0.7500 x4
S 0.0000 0.0326 0.6022 x8
S 0.0000 0.2819 0.2500 x4
S 0.0000 0.3037 0.5874 x8

(9)
VASP calculation (PBE) on Dy2ScInS6 after structural relaxation.

Output
* total energy: -5.910 eV per atom
* ΔE_f (raw): -1.606 eV/atom

Lattice parameters (Å, degrees): 6.7589 6.7589 18.0108 90.00 90.00 120.00
Space group R3 (No. 146, hexagonal axes)
Unique sites:
Dy 0.0000 0.0000 0.0000 x3
Dy 0.0000 0.0000 0.4942 x3
Sc 0.0000 0.0000 0.7973 x3
In 0.0000 0.0000 0.2916 x3
S 0.0144 0.3740 0.0603 x9
S 0.0141 0.7092 0.8934 x9

(10)
VASP calculation (PBE) on DyIn2SnS4 after structural relaxation.

Output
* total energy: -4.679 eV per atom
* ΔE_f (raw): -0.855 eV/atom

Lattice parameters (Å, degrees): 7.2162 4.0016 7.2981 90.00 108.35 90.00
Space group P2/m (No. 10)
Unique sites:
Dy 0.0000 0.0000 0.0000 x1
In 0.0000 0.5000 0.5000 x1
In 0.5000 0.0000 0.5000 x1
Sn 0.5000 0.5000 0.0000 x1
S 0.2228 0.5000 0.2191 x2
S 0.2357 0.0000 0.7639 x2

(11)
VASP calculation (PBE) on DyTmIn2S6 after structural relaxation.

Output
* total energy: -5.193 eV per atom
* ΔE_f (raw): -1.262 eV/atom

Lattice parameters (Å, degrees): 6.7775 6.7775 18.1728 90.00 90.00 120.00
Space group R3 (No. 146, hexagonal axes)
Unique sites:
Dy 0.0000 0.0000 0.0000 x3
Tm 0.0000 0.0000 0.4983 x3
In 0.0000 0.0000 0.2927 x3
In 0.0000 0.0000 0.7942 x3
S 0.0075 0.3063 0.8980 x9
S 0.0122 0.7072 0.3986 x9

(12)
VASP calculation (PBE) on DyTm2In3S6 after structural relaxation.

Output
* total energy: -5.282 eV per atom
* ΔE_f (raw): -1.404 eV/atom

Lattice parameters (Å, degrees): 6.8522 11.8685 7.8553 90.00 106.91 90.00
Space group C2/m (No. 12)
Unique sites:
Dy 0.0000 0.0000 0.0000 x2
Tm 0.0000 0.3334 0.0000 x4
In 0.0000 0.1663 0.5000 x4
In 0.0000 0.5000 0.5000 x2
S 0.2294 0.5000 0.1986 x4
S 0.2349 0.1685 0.1995 x8

(13)
VASP calculation (PBE) on Dy2YInS6 after structural relaxation.

Output
* total energy: -5.969 eV per atom
* ΔE_f (raw): -1.652 eV/atom

Lattice parameters (Å, degrees): 6.8609 6.8609 18.3468 90.00 90.00 120.00
Space group R3 (No. 146, hexagonal axes)
Unique sites:
Dy 0.0000 0.0000 0.0000 x3
Dy 0.0000 0.0000 0.4983 x3
Y 0.0000 0.0000 0.7018 x3
In 0.0000 0.0000 0.2025 x3
S 0.0337 0.3570 0.2662 x9
S 0.0376 0.6702 0.7682 x9

(14)
VASP calculation (PBE) on Dy6InSb3 after structural relaxation.

Output
* total energy: -5.064 eV per atom
* ΔE_f (raw): -0.792 eV/atom

Lattice parameters (Å, degrees): 11.6990 11.4080 8.4549 90.00 90.00 90.00
Space group Cmcm (No. 63)
Unique sites:
Dy 0.0000 0.1608 0.0001 x8
Dy 0.1615 0.5000 0.0000 x8
Dy 0.2493 0.2525 0.2500 x8
In 0.0000 0.3574 0.2500 x4
Sb 0.0000 0.3621 0.7500 x4
Sb 0.1440 0.0022 0.2500 x8

(15)
VASP calculation (PBE) on Dy7In2Sb2 after structural relaxation.

Output
* total energy: -4.504 eV per atom
* ΔE_f (raw): -0.328 eV/atom

Lattice parameters (Å, degrees): 8.3457 11.0033 7.4910 90.00 90.00 90.00
Space group Cmmm (No. 65)
Unique sites:
Dy 0.0000 0.0000 0.0000 x2
Dy 0.0000 0.5000 0.2687 x4
Dy 0.2500 0.2500 0.2803 x8
In 0.1750 0.0000 0.5000 x4
Sb 0.0000 0.2835 0.0000 x4